1.
## BeIn2Ni2 (PBE-GGA)

Data for crystalline BeIn2Ni2 at its relaxed geometry.

Lattice parameters (Å, degrees): 4.033 4.033 6.241 71.15 71.15 90.00
Sites, in units of the cell vectors:
Be 0.000 0.000 0.000
In 0.250 0.750 0.500
In 0.750 0.250 0.500
Ni 0.600 0.600 0.800
Ni 0.400 0.400 0.200

Relative energy among the computed polymorphs (eV per atom): 0.636
M_tot (μB per formula unit): 0.0
Volume (Å³/cell): 90
DFT total energy (hartree per atom): -0.1303
Formation enthalpy at 0 K (kcal/mol of atoms): 14.00

---

2.
## BiTeMo2S (PBE-GGA)

Data for crystalline BiTeMo2S at its relaxed geometry.

Lattice parameters (Å, degrees): 5.499 5.786 5.499 90.00 90.00 90.00
Sites, in units of the cell vectors:
Mo 0.500 0.000 0.000
Mo 0.000 0.000 0.500
Bi 0.000 0.000 0.000
Te 0.000 0.500 0.000
S 0.500 0.500 0.500

M_tot (μB per formula unit): 6.7
Raw formation energy (meV per atom): 2104
Volume (Å³/cell): 175
DFT total energy (hartree per atom): -0.1638

---

3.
## MnOs2Au (PBE-GGA)

Data for crystalline MnOs2Au at its relaxed geometry.

Lattice parameters (Å, degrees): 2.726 2.726 9.324 90.00 90.00 117.37
Sites, in units of the cell vectors:
Mn 0.500 0.500 0.762
Os 0.000 0.000 0.994
Os 0.500 0.500 0.233
Au 0.000 0.000 0.511

Relative energy among the computed polymorphs (eV per atom): 0.290
M_tot (μB per formula unit): 3.9
Volume (Å³/cell): 62
DFT total energy (hartree per atom): -0.3017
Formation enthalpy at 0 K (kcal/mol of atoms): 11.90